DFT (GGA-PBE) results for a geometry-optimized Hf2SbPd9 structure.

extended XYZ file:
```
12
Lattice="4.023 0.000 0.000 0.000 4.023 0.000 0.000 0.000 12.104" Properties=species:S:1:pos:R:3 pbc="T T T"
Hf 0.000 0.000 2.003
Hf 0.000 0.000 10.101
Sb 0.000 0.000 6.052
Pd 0.000 2.011 0.000
Pd 0.000 2.011 3.965
Pd 0.000 2.011 8.139
Pd 2.011 0.000 0.000
Pd 2.011 0.000 3.965
Pd 2.011 0.000 8.139
Pd 2.011 2.011 1.994
Pd 2.011 2.011 6.052
Pd 2.011 2.011 10.110
```

## Properties
formation energy without anion corrections: -8.56 eV per formula unit
uncorrected energy: -79.321 eV per cell



DFT (GGA-PBE) results for a geometry-optimized HfSb2Pd7 structure.

extended XYZ file:
```
10
Lattice="-2.022 2.022 11.199 2.022 -2.022 11.199 2.022 2.022 -11.199" Properties=species:S:1:pos:R:3 pbc="T T T"
Hf 0.000 0.000 0.000
Sb 0.000 0.000 7.410
Sb 0.000 0.000 14.987
Pd 2.022 0.000 1.976
Pd 2.022 0.000 5.599
Pd 2.022 0.000 9.222
Pd 0.000 0.000 11.199
Pd 0.000 2.022 1.976
Pd 0.000 2.022 5.599
Pd 0.000 2.022 9.222
```

## Properties
formation energy without anion corrections: -5.82 eV per formula unit
uncorrected energy: -60.368 eV per cell



DFT (GGA-PBE) results for a geometry-optimized Sr2HfSb4Pd3 structure.

extended XYZ file:
```
10
Lattice="4.580 0.000 0.000 0.000 4.580 0.000 0.000 0.000 11.839" Properties=species:S:1:pos:R:3 pbc="T T T"
Sr 0.000 2.290 2.804
Sr 2.290 0.000 9.035
Hf 0.000 0.000 5.919
Sb 0.000 0.000 0.000
Sb 0.000 2.290 7.590
Sb 2.290 0.000 4.249
Sb 2.290 2.290 0.000
Pd 0.000 2.290 10.282
Pd 2.290 0.000 1.557
Pd 2.290 2.290 5.919
```

## Properties
formation energy without anion corrections: -7.50 eV per formula unit
uncorrected energy: -52.884 eV per cell



> formation energy without anion corrections of number 1 (Hf2SbPd9)?

-8.56 eV per formula unit



> Number 1 is which compound?

Hf2SbPd9



> Which value of uncorrected energy does entry 1 give?

-79.321 eV per cell